Record 1
Crystalline GaSi at its relaxed geometry. Source: the Alexandria database, functional PBE.

Summary:
- calculated volume (Å³/cell) = 312
- density (kg/m³) = 3120
- E_tot (eV/atom) = -3.84
- ΔE to the lowest computed polymorph (eV/f.u.) = 0.57
- crystal system = hexagonal

Cell and atoms, written as CIF:
```
data_GaSi
_chemical_formula_sum 'Ga6 Si6'
_cell_length_a 9.6844
_cell_length_b 9.6844
_cell_length_c 3.8454
_cell_angle_alpha 90.00
_cell_angle_beta 90.00
_cell_angle_gamma 120.00
_space_group_name_H-M_alt 'P 63/m'
_space_group_IT_number 176
_space_group_name_Hall '-P 6c'
loop_
_atom_site_label
_atom_site_type_symbol
_atom_site_fract_x
_atom_site_fract_y
_atom_site_fract_z
_atom_site_occupancy
Ga1 Ga 0.1358 0.7447 0.2500 1
Si1 Si 0.0183 0.4163 0.2500 1
```

***

Record 2
Crystalline GaSi3 at its relaxed geometry. Source: the Alexandria database, functional PBE.

Summary:
- calculated volume (Å³/cell) = 151
- density (kg/m³) = 3396
- E_tot (eV/atom) = -4.58
- ΔE to the lowest computed polymorph (eV/f.u.) = 0.23
- crystal system = triclinic

Cell and atoms, written as CIF:
```
data_GaSi3
_chemical_formula_sum 'Ga2 Si6'
_cell_length_a 5.646
_cell_length_b 5.721
_cell_length_c 5.971
_cell_angle_alpha 116.60
_cell_angle_beta 107.05
_cell_angle_gamma 102.52
_space_group_name_H-M_alt 'P 1'
_space_group_IT_number 1
loop_
_space_group_symop_operation_xyz
'x,y,z'
loop_
_atom_site_label
_atom_site_type_symbol
_atom_site_fract_x
_atom_site_fract_y
_atom_site_fract_z
_atom_site_occupancy
Ga1 Ga 0.000 0.000 0.000 1
Ga2 Ga 0.316 0.539 0.326 1
Si1 Si 0.243 0.554 0.723 1
Si2 Si 0.478 0.080 0.035 1
Si3 Si 0.550 0.347 0.826 1
Si4 Si 0.765 0.247 0.517 1
Si5 Si 0.785 0.838 0.510 1
Si6 Si 0.973 0.709 0.194 1
```

***

Record 3
Crystalline GaSi at its relaxed geometry. Source: the Alexandria database, functional PBE.

Summary:
- calculated volume (Å³/cell) = 82
- density (kg/m³) = 3972
- E_tot (eV/atom) = -4.07
- ΔE to the lowest computed polymorph (eV/f.u.) = 0.10
- crystal system = triclinic

Cell and atoms, written as CIF:
```
data_GaSi
_chemical_formula_sum 'Ga2 Si2'
_cell_length_a 4.170
_cell_length_b 4.176
_cell_length_c 5.887
_cell_angle_alpha 110.25
_cell_angle_beta 90.69
_cell_angle_gamma 119.31
_space_group_name_H-M_alt 'P 1'
_space_group_IT_number 1
loop_
_space_group_symop_operation_xyz
'x,y,z'
loop_
_atom_site_label
_atom_site_type_symbol
_atom_site_fract_x
_atom_site_fract_y
_atom_site_fract_z
_atom_site_occupancy
Ga1 Ga 0.000 0.000 0.000 1
Ga2 Ga 0.084 0.528 0.522 1
Si1 Si 0.329 0.633 0.962 1
Si2 Si 0.386 0.103 0.402 1
```

***

Record 4
Crystalline GaSi at its relaxed geometry. Source: the Alexandria database, functional PBE.

Summary:
- calculated volume (Å³/cell) = 88
- density (kg/m³) = 3685
- E_tot (eV/atom) = -4.12
- ΔE to the lowest computed polymorph (eV/f.u.) = 0.00
- crystal system = trigonal

Cell and atoms, written as CIF:
```
data_GaSi
_chemical_formula_sum 'Ga2 Si2'
_cell_length_a 3.7589
_cell_length_b 3.7589
_cell_length_c 7.2046
_cell_angle_alpha 90.00
_cell_angle_beta 90.00
_cell_angle_gamma 120.00
_space_group_name_H-M_alt 'P -3 m 1'
_space_group_IT_number 164
_space_group_name_Hall '-P 3 2"'
loop_
_atom_site_label
_atom_site_type_symbol
_atom_site_fract_x
_atom_site_fract_y
_atom_site_fract_z
_atom_site_occupancy
Ga1 Ga 0.3333 0.6667 0.1055 1
Si1 Si 0.3333 0.6667 0.4419 1
```